## HfZrTeS2 (PBE)

Data for HfZrTeS2 after structural relaxation.

Output
The calculation puts the density of states at the Fermi level at 4.88 states/eV per cell. For the energy relative to the elements, uncorrected, the calculation gives 900 meV per atom. The crystal system is tetragonal. Its calculated density is 5.6 g/cm³. The calculation puts the volume at 136.2 Å³/cell.

Geometry as POSCAR:
```
HfZrTeS2
1.0
-2.925 0.274 4.049
-2.787 -4.347 -1.719
3.147 -2.998 2.477
S Te Hf Zr
2 1 1 1
Direct
0.000 0.000 0.500 S
0.500 0.000 0.000 S
0.000 0.000 0.000 Te
0.000 0.500 0.000 Hf
0.500 0.500 0.500 Zr
```

## HfThS3 (PBE)

Data for HfThS3 after structural relaxation.

Output
The calculation puts the density of states at the Fermi level at 3.67 states/eV per cell. For the energy relative to the elements, uncorrected, the calculation gives -1606 meV per atom. The crystal system is monoclinic. Its calculated density is 7.5 g/cm³. The calculation puts the volume at 223.7 Å³/cell.

Geometry as POSCAR:
```
HfThS3
1.0
3.684 0.000 0.000
0.000 7.436 0.229
-1.842 -1.321 8.123
Hf Th S
2 2 6
Direct
0.586 0.587 0.172 Hf
0.414 0.413 0.828 Hf
0.808 0.783 0.615 Th
0.192 0.217 0.385 Th
0.971 0.681 0.941 S
0.029 0.319 0.059 S
0.353 0.059 0.706 S
0.647 0.941 0.294 S
0.192 0.604 0.383 S
0.808 0.396 0.617 S
```

## Hf2ThS (PBE)

Data for Hf2ThS after structural relaxation.

Output
The calculation puts the density of states at the Fermi level at 4.18 states/eV per cell. For the energy relative to the elements, uncorrected, the calculation gives -262 meV per atom. The crystal system is trigonal. Its calculated density is 11.2 g/cm³. The calculation puts the volume at 92.3 Å³/cell.

Geometry as POSCAR:
```
Hf2ThS
1.0
-2.555 2.015 0.531
-0.903 0.741 3.083
4.907 8.624 1.126
S Hf Th
1 2 1
Direct
0.500 0.500 0.500 S
0.106 0.106 0.682 Hf
0.894 0.894 0.318 Hf
0.000 0.000 0.000 Th
```

## HfTh2S5 (PBE)

Data for HfTh2S5 after structural relaxation.

Output
The calculation puts the density of states at the Fermi level at 7.73 states/eV per cell. For the energy relative to the elements, uncorrected, the calculation gives -1655 meV per atom. The crystal system is orthorhombic. Its calculated density is 6.0 g/cm³. The calculation puts the volume at 442.2 Å³/cell.

Geometry as POSCAR:
```
HfTh2S5
1.0
-0.102 3.032 4.554
-2.485 -6.299 0.851
11.812 -4.243 3.089
Hf Th S
2 4 10
Direct
0.791 0.582 0.750 Hf
0.209 0.418 0.250 Hf
0.842 0.685 0.433 Th
0.842 0.685 0.067 Th
0.158 0.315 0.567 Th
0.158 0.315 0.933 Th
0.946 0.893 0.877 S
0.946 0.893 0.623 S
0.329 0.657 0.415 S
0.329 0.657 0.085 S
0.721 0.441 0.250 S
0.279 0.559 0.750 S
0.671 0.343 0.585 S
0.671 0.343 0.915 S
0.054 0.107 0.123 S
0.054 0.107 0.377 S
```

## Hf2ThS6 (PBE)

Data for Hf2ThS6 after structural relaxation.

Output
The calculation puts the density of states at the Fermi level at 0.00 states/eV per cell. For the energy relative to the elements, uncorrected, the calculation gives -1615 meV per atom. The crystal system is monoclinic. Its calculated density is 5.8 g/cm³. The calculation puts the volume at 224.8 Å³/cell.

Geometry as POSCAR:
```
Hf2ThS6
1.0
-1.789 -4.350 0.991
3.011 -2.605 5.659
-5.114 0.757 5.752
Hf Th S
2 1 6
Direct
0.178 0.753 0.890 Hf
0.822 0.247 0.110 Hf
0.000 0.500 0.500 Th
0.743 0.630 0.883 S
0.257 0.370 0.117 S
0.967 0.860 0.206 S
0.359 0.719 0.563 S
0.033 0.140 0.794 S
0.641 0.281 0.437 S
```

## HfThS (PBE)

Data for HfThS after structural relaxation.

Output
The calculation puts the density of states at the Fermi level at 17.04 states/eV per cell. For the energy relative to the elements, uncorrected, the calculation gives -887 meV per atom. The crystal system is orthorhombic. Its calculated density is 10.2 g/cm³. The calculation puts the volume at 432.9 Å³/cell.

Geometry as POSCAR:
```
HfThS
1.0
-2.084 3.896 5.013
4.359 -2.160 3.491
6.605 7.875 -3.375
S Hf Th
6 6 6
Direct
0.010 0.279 0.332 S
0.010 0.279 0.668 S
0.973 0.240 0.000 S
0.473 0.760 0.500 S
0.510 0.721 0.168 S
0.510 0.721 0.832 S
0.840 0.508 0.840 Hf
0.840 0.508 0.160 Hf
0.673 0.968 0.000 Hf
0.340 0.492 0.340 Hf
0.340 0.492 0.660 Hf
0.173 0.032 0.500 Hf
0.863 0.583 0.500 Th
0.646 0.051 0.329 Th
0.646 0.051 0.671 Th
0.363 0.417 0.000 Th
0.146 0.949 0.171 Th
0.146 0.949 0.829 Th
```

## HfThS2 (PBE)

Data for HfThS2 after structural relaxation.

Output
The calculation puts the density of states at the Fermi level at 1.41 states/eV per cell. For the energy relative to the elements, uncorrected, the calculation gives -1501 meV per atom. The crystal system is trigonal. Its calculated density is 9.8 g/cm³. The calculation puts the volume at 80.1 Å³/cell.

Geometry as POSCAR:
```
HfThS2
1.0
-0.880 -3.444 -1.191
2.364 -2.849 0.592
-2.442 -3.338 5.558
S Hf Th
2 1 1
Direct
0.738 0.738 0.785 S
0.262 0.262 0.215 S
0.000 0.000 0.000 Hf
0.500 0.500 0.500 Th
```

## HfTiS (PBE)

Data for HfTiS after structural relaxation.

Output
The calculation puts the density of states at the Fermi level at 4.71 states/eV per cell. For the energy relative to the elements, uncorrected, the calculation gives -919 meV per atom. The crystal system is monoclinic. Its calculated density is 8.3 g/cm³. The energy above the lowest structure with this stoichiometry comes out at 41 meV/atom. The calculation puts the volume at 103.4 Å³/cell.

Geometry as POSCAR:
```
HfTiS
1.0
3.328 0.000 0.000
-1.664 4.509 -1.006
0.000 0.109 6.867
Hf Ti S
2 2 2
Direct
0.882 0.764 0.672 Hf
0.118 0.236 0.328 Hf
0.630 0.260 0.963 Ti
0.370 0.740 0.037 Ti
0.831 0.662 0.290 S
0.169 0.338 0.710 S
```

## HfTiS (PBE)

Data for HfTiS after structural relaxation.

Output
The calculation puts the density of states at the Fermi level at 0.96 states/eV per cell. For the energy relative to the elements, uncorrected, the calculation gives -959 meV per atom. The crystal system is trigonal. Its calculated density is 8.0 g/cm³. The energy above the lowest structure with this stoichiometry comes out at 0 meV/atom. The calculation puts the volume at 53.6 Å³/cell.

Geometry as POSCAR:
```
HfTiS
1.0
3.383 0.000 0.000
-1.691 2.929 0.000
0.000 0.000 5.411
S Hf Ti
1 1 1
Direct
0.667 0.333 0.346 S
0.000 0.000 0.038 Hf
0.333 0.667 0.616 Ti
```

## HfTi2S6 (PBE)

Data for HfTi2S6 after structural relaxation.

Output
The calculation puts the density of states at the Fermi level at 0.13 states/eV per cell. For the energy relative to the elements, uncorrected, the calculation gives -1143 meV per atom. The crystal system is monoclinic. Its calculated density is 4.1 g/cm³. The energy above the lowest structure with this stoichiometry comes out at 223 meV/atom. The calculation puts the volume at 189.9 Å³/cell.

Geometry as POSCAR:
```
HfTi2S6
1.0
4.649 0.000 0.000
2.325 6.071 -0.333
2.325 2.137 6.611
Hf Ti S
1 2 6
Direct
0.000 0.500 0.500 Hf
0.179 0.734 0.908 Ti
0.821 0.266 0.092 Ti
0.749 0.650 0.852 S
0.251 0.350 0.148 S
0.965 0.858 0.211 S
0.366 0.690 0.578 S
0.035 0.142 0.789 S
0.634 0.310 0.422 S
```

## HfTi2S4 (PBE)

Data for HfTi2S4 after structural relaxation.

Output
The calculation puts the density of states at the Fermi level at 7.84 states/eV per cell. For the energy relative to the elements, uncorrected, the calculation gives -1323 meV per atom. The crystal system is orthorhombic. Its calculated density is 5.5 g/cm³. The calculation puts the volume at 242.0 Å³/cell.

Geometry as POSCAR:
```
HfTi2S4
1.0
3.405 0.000 0.000
-1.702 5.676 0.000
0.000 0.000 12.523
Hf Ti S
2 4 8
Direct
0.617 0.234 0.750 Hf
0.383 0.766 0.250 Hf
0.150 0.299 0.440 Ti
0.850 0.701 0.940 Ti
0.150 0.299 0.060 Ti
0.850 0.701 0.560 Ti
0.788 0.575 0.122 S
0.788 0.575 0.378 S
0.212 0.425 0.878 S
0.212 0.425 0.622 S
0.950 0.899 0.750 S
0.050 0.101 0.250 S
0.500 0.000 0.000 S
0.500 0.000 0.500 S
```